(1)
The following is a GGA-PBE calculation of a relaxed structure of KH3Rh, from Alexandria via LeMat-Bulk.

Lattice parameters (Å, degrees): 16.407 6.801 6.801 148.48 155.66 24.34
Atoms (fractional coordinates):
K: 0.343 0.059 0.941
K: 0.657 0.941 0.059
H: 0.354 0.708 0.292
H: 0.901 0.438 0.562
H: 0.099 0.562 0.438
H: 0.646 0.292 0.708
H: 0.029 0.031 0.969
H: 0.971 0.969 0.031
Rh: 0.087 0.083 0.917
Rh: 0.913 0.917 0.083

crystal system	monoclinic

=====

(2)
The following is a GGA-PBE calculation of a relaxed structure of KH3Rh, from Alexandria via LeMat-Bulk.

Lattice parameters (Å, degrees): 6.185 6.185 6.185 49.82 49.82 49.82
Atoms (fractional coordinates):
K: 0.878 0.878 0.878
K: 0.122 0.122 0.122
Rh: 0.334 0.334 0.334
Rh: 0.666 0.666 0.666
H: 0.955 0.353 0.545
H: 0.545 0.955 0.353
H: 0.045 0.647 0.455
H: 0.647 0.455 0.045
H: 0.353 0.545 0.955
H: 0.455 0.045 0.647

crystal system	trigonal

=====

(3)
The following is a GGA-PBE calculation of a relaxed structure of KH3Rh, from Alexandria via LeMat-Bulk.

Lattice parameters (Å, degrees): 2.880 5.773 5.773 116.90 90.00 90.00
Atoms (fractional coordinates):
Rh: 0.000 0.431 0.569
H: 0.000 0.274 0.726
H: 0.500 0.255 0.404
H: 0.500 0.596 0.745
K: 0.500 0.072 0.928

crystal system	orthorhombic

=====

(4)
The following is a GGA-PBE calculation of a relaxed structure of KH3Rh, from Alexandria via LeMat-Bulk.

Lattice parameters (Å, degrees): 6.835 6.835 6.835 60.00 60.00 60.00
Atoms (fractional coordinates):
H: 0.677 0.677 0.323
H: 0.323 0.677 0.323
H: 0.573 0.573 0.927
H: 0.323 0.323 0.677
H: 0.677 0.323 0.323
H: 0.677 0.323 0.677
H: 0.927 0.573 0.573
H: 0.323 0.677 0.677
H: 0.927 0.573 0.927
H: 0.573 0.927 0.927
H: 0.573 0.927 0.573
H: 0.927 0.927 0.573
K: 0.125 0.625 0.125
K: 0.125 0.125 0.125
K: 0.625 0.125 0.125
K: 0.125 0.125 0.625
Rh: 0.125 0.625 0.625
Rh: 0.625 0.125 0.625
Rh: 0.625 0.625 0.625
Rh: 0.625 0.625 0.125

crystal system	cubic

=====

(5)
The following is a GGA-PBE calculation of a relaxed structure of KH3Rh, from Alexandria via LeMat-Bulk.

Lattice parameters (Å, degrees): 3.723 3.723 3.723 90.00 90.00 90.00
Atoms (fractional coordinates):
K: 0.500 0.500 0.500
H: 0.500 0.000 0.000
H: 0.000 0.500 0.000
H: 0.000 0.000 0.500
Rh: 0.000 0.000 0.000

crystal system	cubic

=====

(6)
The following is a GGA-PBE calculation of a relaxed structure of KH3Rh, from Alexandria via LeMat-Bulk.

Lattice parameters (Å, degrees): 16.169 6.488 6.488 153.63 152.38 27.62
Atoms (fractional coordinates):
K: 0.801 0.111 0.889
K: 0.199 0.889 0.111
H: 0.510 0.668 0.332
H: 0.104 0.203 0.797
H: 0.896 0.797 0.203
H: 0.795 0.323 0.677
H: 0.205 0.677 0.323
H: 0.490 0.332 0.668
Rh: 0.675 0.008 0.992
Rh: 0.325 0.992 0.008

crystal system	monoclinic

=====

(7)
The following is a GGA-PBE calculation of a relaxed structure of K3HRh, from Alexandria via LeMat-Bulk.

Lattice parameters (Å, degrees): 5.294 5.294 5.294 90.00 90.00 90.00
Atoms (fractional coordinates):
Rh: 0.500 0.500 0.500
K: 0.000 0.500 0.000
K: 0.500 0.000 0.000
K: 0.000 0.000 0.500
H: 0.000 0.000 0.000

crystal system	cubic

=====

(8)
The following is a GGA-PBE calculation of a relaxed structure of K2HRh, from Alexandria via LeMat-Bulk.

Lattice parameters (Å, degrees): 5.390 5.390 5.390 60.00 60.00 60.00
Atoms (fractional coordinates):
Rh: 0.500 0.500 0.500
K: 0.750 0.750 0.750
K: 0.250 0.250 0.250
H: 0.000 0.000 0.000

crystal system	cubic

=====

(9)
The following is a GGA-PBE calculation of a relaxed structure of KH4Rh, from Alexandria via LeMat-Bulk.

Lattice parameters (Å, degrees): 4.702 4.689 5.623 90.00 90.19 90.00
Atoms (fractional coordinates):
K: 0.000 0.000 0.000
K: 0.500 0.500 0.000
H: 0.501 0.022 0.795
H: 0.999 0.522 0.205
H: 0.239 0.762 0.580
H: 0.499 0.978 0.205
H: 0.261 0.262 0.420
H: 0.001 0.478 0.795
H: 0.739 0.738 0.580
H: 0.761 0.238 0.420
Rh: 0.000 0.500 0.500
Rh: 0.500 0.000 0.500

crystal system	monoclinic

=====

(10)
The following is a GGA-PBE calculation of a relaxed structure of KH3Rh, from Alexandria via LeMat-Bulk.

Lattice parameters (Å, degrees): 3.016 3.016 5.902 90.00 90.00 90.00
Atoms (fractional coordinates):
H: 0.000 0.500 0.444
H: 0.500 0.000 0.444
H: 0.000 0.000 0.681
Rh: 0.500 0.500 0.595
K: 0.000 0.000 0.098

crystal system	tetragonal

=====

(11)
The following is a GGA-PBE calculation of a relaxed structure of KH3Rh, from Alexandria via LeMat-Bulk.

Lattice parameters (Å, degrees): 3.571 3.934 8.382 90.01 90.06 90.00
Atoms (fractional coordinates):
K: 0.050 0.634 0.941
K: 0.049 0.134 0.277
H: 0.550 0.634 0.714
H: 0.550 0.134 0.927
H: 0.549 0.134 0.504
H: 0.549 0.634 0.291
H: 0.049 0.634 0.487
H: 0.050 0.134 0.731
Rh: 0.550 0.134 0.725
Rh: 0.549 0.634 0.493

crystal system	monoclinic

=====

(12)
The following is a GGA-PBE calculation of a relaxed structure of K4H6Rh, from Alexandria via LeMat-Bulk.

Lattice parameters (Å, degrees): 7.643 7.643 7.643 91.47 91.47 88.53
Atoms (fractional coordinates):
H: 0.284 0.461 0.462
H: 0.961 0.784 0.962
H: 0.784 0.038 0.039
H: 0.039 0.216 0.038
H: 0.539 0.462 0.284
H: 0.038 0.961 0.216
H: 0.461 0.538 0.716
H: 0.216 0.962 0.961
H: 0.716 0.539 0.538
H: 0.962 0.039 0.784
H: 0.538 0.284 0.539
H: 0.462 0.716 0.461
K: 0.250 0.663 0.163
K: 0.250 0.250 0.750
K: 0.337 0.163 0.250
K: 0.163 0.750 0.663
K: 0.663 0.837 0.750
K: 0.750 0.750 0.250
K: 0.750 0.337 0.837
K: 0.837 0.250 0.337
Rh: 0.500 0.500 0.500
Rh: 0.000 0.000 0.000

crystal system	trigonal

=====

(13)
The following is a GGA-PBE calculation of a relaxed structure of K2H5Rh, from Alexandria via LeMat-Bulk.

Lattice parameters (Å, degrees): 3.483 5.915 5.915 90.00 90.00 90.00
Atoms (fractional coordinates):
H: 0.500 0.000 0.000
H: 0.000 0.799 0.799
H: 0.000 0.799 0.201
H: 0.000 0.201 0.201
H: 0.000 0.201 0.799
Rh: 0.000 0.000 0.000
K: 0.500 0.500 0.000
K: 0.500 0.000 0.500

crystal system	tetragonal

=====

(14)
The following is a GGA-PBE calculation of a relaxed structure of KH3Rh, from Alexandria via LeMat-Bulk.

Lattice parameters (Å, degrees): 3.406 3.406 10.997 81.09 81.09 90.00
Atoms (fractional coordinates):
H: 0.058 0.710 0.885
H: 0.595 0.942 0.115
H: 0.290 0.942 0.115
H: 0.260 0.260 0.481
H: 0.058 0.405 0.885
H: 0.740 0.740 0.519
K: 0.643 0.143 0.713
K: 0.857 0.357 0.287
Rh: 0.000 0.000 0.000
Rh: 0.250 0.750 0.500

crystal system	tetragonal

=====

(15)
The following is a GGA-PBE calculation of a relaxed structure of K3H6Rh, from Alexandria via LeMat-Bulk.

Lattice parameters (Å, degrees): 5.902 5.902 5.902 60.00 60.00 60.00
Atoms (fractional coordinates):
H: 0.799 0.799 0.201
H: 0.201 0.799 0.201
H: 0.201 0.201 0.799
H: 0.799 0.201 0.201
H: 0.799 0.201 0.799
H: 0.201 0.799 0.799
K: 0.250 0.250 0.250
K: 0.750 0.750 0.750
K: 0.500 0.500 0.500
Rh: 0.000 0.000 0.000

crystal system	cubic

=====

(16)
The following is a GGA-PBE calculation of a relaxed structure of KH7Rh2, from Alexandria via LeMat-Bulk.

Lattice parameters (Å, degrees): 3.503 5.441 5.441 120.31 90.00 90.00
Atoms (fractional coordinates):
H: 0.000 0.323 0.677
H: 0.500 0.034 0.349
H: 0.000 0.677 0.323
H: 0.500 0.651 0.966
H: 0.500 0.349 0.034
H: 0.500 0.966 0.651
H: 0.500 0.500 0.500
Rh: 0.500 0.687 0.313
Rh: 0.500 0.313 0.687
K: 0.000 0.000 0.000

crystal system	orthorhombic

=====

(17)
The following is a GGA-PBE calculation of a relaxed structure of KH3Rh, from Alexandria via LeMat-Bulk.

Lattice parameters (Å, degrees): 4.711 10.894 4.722 90.00 90.00 90.00
Atoms (fractional coordinates):
H: 0.752 0.750 0.250
H: 0.251 0.826 0.750
H: 0.249 0.326 0.250
H: 0.249 0.174 0.250
H: 0.252 0.750 0.250
H: 0.751 0.826 0.750
H: 0.751 0.674 0.750
H: 0.248 0.250 0.750
H: 0.749 0.326 0.250
H: 0.748 0.250 0.750
H: 0.749 0.174 0.250
H: 0.251 0.674 0.750
K: 0.500 0.000 0.000
K: 0.500 0.500 0.000
K: 0.000 0.500 0.500
K: 0.000 0.000 0.500
Rh: 0.998 0.250 0.033
Rh: 0.502 0.750 0.533
Rh: 0.002 0.750 0.967
Rh: 0.498 0.250 0.467

crystal system	orthorhombic

=====

(18)
The following is a GGA-PBE calculation of a relaxed structure of KH3Rh, from Alexandria via LeMat-Bulk.

Lattice parameters (Å, degrees): 3.202 3.202 12.747 90.00 90.00 120.00
Atoms (fractional coordinates):
K: 0.000 0.000 0.500
K: 0.000 0.000 0.000
H: 0.000 0.000 0.750
H: 0.333 0.667 0.879
H: 0.000 0.000 0.250
H: 0.667 0.333 0.379
H: 0.667 0.333 0.121
H: 0.333 0.667 0.621
Rh: 0.667 0.333 0.250
Rh: 0.333 0.667 0.750

crystal system	hexagonal

=====

(19)
The following is a GGA-PBE calculation of a relaxed structure of KH3Rh, from Alexandria via LeMat-Bulk.

Lattice parameters (Å, degrees): 18.103 5.116 6.429 90.00 149.22 90.00
Atoms (fractional coordinates):
Rh: 0.523 0.258 0.492
Rh: 0.977 0.758 0.008
Rh: 0.023 0.242 0.992
Rh: 0.477 0.742 0.508
K: 0.321 0.693 0.667
K: 0.679 0.307 0.333
K: 0.179 0.193 0.833
K: 0.821 0.807 0.167
H: 0.940 0.065 0.022
H: 0.060 0.935 0.978
H: 0.409 0.998 0.200
H: 0.440 0.435 0.522
H: 0.560 0.565 0.478
H: 0.909 0.502 0.700
H: 0.407 0.890 0.535
H: 0.091 0.498 0.300
H: 0.593 0.110 0.465
H: 0.907 0.610 0.035
H: 0.591 0.002 0.800
H: 0.093 0.390 0.965

crystal system	monoclinic

=====

(20)
The following is a GGA-PBE calculation of a relaxed structure of KH3Rh, from Alexandria via LeMat-Bulk.

Lattice parameters (Å, degrees): 3.650 3.650 9.088 90.00 90.00 120.00
Atoms (fractional coordinates):
H: 0.667 0.333 0.527
H: 0.333 0.667 0.027
H: 0.333 0.667 0.473
H: 0.000 0.000 0.250
H: 0.667 0.333 0.973
H: 0.000 0.000 0.750
Rh: 0.000 0.000 0.500
Rh: 0.000 0.000 0.000
K: 0.667 0.333 0.250
K: 0.333 0.667 0.750

crystal system	hexagonal

=====

Number 1: raw total energy -3.81 eV per atom. Number 2: raw total energy -3.84 eV per atom. Number 3: raw total energy -3.67 eV per atom. Number 4: raw total energy -3.81 eV per atom. Number 5: raw total energy -3.84 eV per atom. Number 6: raw total energy -3.78 eV per atom. Number 7: raw total energy -2.41 eV per atom. Number 8: raw total energy -2.36 eV per atom. Number 9: raw total energy -3.77 eV per atom. Number 10: raw total energy -3.60 eV per atom. Number 11: raw total energy -3.80 eV per atom. Number 12: raw total energy -3.15 eV per atom. Number 13: raw total energy -3.57 eV per atom. Number 14: raw total energy -3.61 eV per atom. Number 15: raw total energy -3.41 eV per atom. Number 16: raw total energy -4.06 eV per atom. Number 17: raw total energy -3.76 eV per atom. Number 18: raw total energy -3.67 eV per atom. Number 19: raw total energy -3.87 eV per atom. Number 20: raw total energy -3.30 eV per atom.